Entry 1:
DFT (PBE) results for Ce2Co3Ge4Os after structural relaxation.

a = 4.143 Å, b = 4.143 Å, c = 9.729 Å
α = 90.00°, β = 90.00°, γ = 90.00°
Fractional positions:
Ce  0.000  0.500  0.245
Ce  0.500  0.000  0.755
Co  0.000  0.500  0.876
Co  0.500  0.000  0.124
Co  0.500  0.500  0.500
Ge  0.000  0.000  0.000
Ge  0.000  0.500  0.635
Ge  0.500  0.000  0.365
Ge  0.500  0.500  0.000
Os  0.000  0.000  0.500

- E_form (eV/atom) = -0.539
- DFT total energy (eV per atom) = -6.827
- total moment (μB/atom) = 0.03

***

Entry 2:
DFT (PBE) results for CeCo2GeP after structural relaxation.

a = 6.071 Å, b = 6.071 Å, c = 6.987 Å
α = 90.00°, β = 90.00°, γ = 140.96°
Fractional positions:
Ce  0.070  0.930  0.750
Ce  0.930  0.070  0.250
Co  0.317  0.683  0.562
Co  0.317  0.683  0.938
Co  0.683  0.317  0.062
Co  0.683  0.317  0.438
Ge  0.219  0.781  0.250
Ge  0.781  0.219  0.750
P  0.500  0.500  0.000
P  0.500  0.500  0.500

- E_form (eV/atom) = -0.648
- DFT total energy (eV per atom) = -6.683
- total moment (μB/atom) = 0.25

***

Entry 3:
DFT (PBE) results for CeCo2Ge2P after structural relaxation.

a = 4.249 Å, b = 4.249 Å, c = 5.473 Å
α = 90.00°, β = 90.00°, γ = 90.00°
Fractional positions:
Ce  0.000  0.000  0.000
Co  0.000  0.500  0.500
Co  0.500  0.000  0.500
Ge  0.500  0.500  0.236
Ge  0.500  0.500  0.764
P  0.000  0.000  0.500

- E_form (eV/atom) = -0.455
- DFT total energy (eV per atom) = -6.254
- total moment (μB/atom) = 0.11

***

Entry 4:
DFT (PBE) results for Ce2PaCo4Ge3 after structural relaxation.

a = 4.252 Å, b = 4.252 Å, c = 9.671 Å
α = 90.00°, β = 90.00°, γ = 90.00°
Fractional positions:
Ce  0.000  0.500  0.225
Ce  0.500  0.000  0.775
Pa  0.000  0.000  0.500
Co  0.000  0.000  0.000
Co  0.000  0.500  0.635
Co  0.500  0.000  0.365
Co  0.500  0.500  0.000
Ge  0.000  0.500  0.878
Ge  0.500  0.000  0.122
Ge  0.500  0.500  0.500

- E_form (eV/atom) = -0.540
- DFT total energy (eV per atom) = -6.904
- total moment (μB/atom) = 0.03

***

Entry 5:
DFT (PBE) results for CePaCo2Ge2 after structural relaxation.

a = 4.194 Å, b = 4.194 Å, c = 7.254 Å
α = 90.00°, β = 90.00°, γ = 120.00°
Fractional positions:
Ce  0.000  0.000  0.000
Pa  0.000  0.000  0.500
Co  0.333  0.667  0.276
Co  0.667  0.333  0.724
Ge  0.333  0.667  0.748
Ge  0.667  0.333  0.252

- E_form (eV/atom) = -0.602
- DFT total energy (eV per atom) = -7.081
- total moment (μB/atom) = 0.00

***

Entry 6:
DFT (PBE) results for CePaCoGe after structural relaxation.

a = 4.509 Å, b = 4.509 Å, c = 9.604 Å
α = 90.00°, β = 90.00°, γ = 90.00°
Fractional positions:
Ce  0.250  0.250  0.163
Ce  0.750  0.750  0.837
Pa  0.250  0.750  0.500
Pa  0.750  0.250  0.500
Co  0.250  0.250  0.626
Co  0.750  0.750  0.374
Ge  0.250  0.250  0.865
Ge  0.750  0.750  0.135

- E_form (eV/atom) = -0.246
- DFT total energy (eV per atom) = -7.034
- total moment (μB/atom) = 0.21

***

Entry 7:
DFT (PBE) results for Ce2CoGe4Pd3 after structural relaxation.

a = 4.265 Å, b = 4.265 Å, c = 10.205 Å
α = 90.00°, β = 90.00°, γ = 90.00°
Fractional positions:
Ce  0.000  0.500  0.244
Ce  0.500  0.000  0.756
Co  0.500  0.500  0.000
Ge  0.000  0.000  0.500
Ge  0.000  0.500  0.875
Ge  0.500  0.000  0.125
Ge  0.500  0.500  0.500
Pd  0.000  0.000  0.000
Pd  0.000  0.500  0.634
Pd  0.500  0.000  0.366

- E_form (eV/atom) = -0.697
- DFT total energy (eV per atom) = -6.000
- total moment (μB/atom) = 0.22

***

Entry 8:
DFT (PBE) results for CePmCoGe after structural relaxation.

a = 4.510 Å, b = 4.510 Å, c = 9.664 Å
α = 90.00°, β = 90.00°, γ = 90.00°
Fractional positions:
Ce  0.250  0.750  0.000
Ce  0.750  0.250  0.000
Pm  0.250  0.250  0.346
Pm  0.750  0.750  0.654
Co  0.250  0.250  0.879
Co  0.750  0.750  0.121
Ge  0.250  0.250  0.644
Ge  0.750  0.750  0.356

- offset from the most stable computed form (meV per atom) = 0
- E_form (eV/atom) = -0.293
- DFT total energy (eV per atom) = -5.895
- total moment (μB/atom) = 0.00